# TaTlTcO6 GGA-PBE optimized geometry
data_TaTlTcO6
_chemical_formula_sum 'Ta1 Tl1 Tc1 O6'
_cell_length_a 5.3361
_cell_length_b 5.3361
_cell_length_c 6.0635
_cell_angle_alpha 90.00
_cell_angle_beta 90.00
_cell_angle_gamma 120.00
_space_group_name_H-M_alt 'P 3 1 2'
_space_group_IT_number 149
loop_
_space_group_symop_operation_xyz
'x,y,z'
'-y,x-y,z'
'-x+y,-x,z'
'-y,-x,-z'
'-x+y,y,-z'
'x,x-y,-z'
loop_
_atom_site_label
_atom_site_type_symbol
_atom_site_fract_x
_atom_site_fract_y
_atom_site_fract_z
Ta1 Ta 0.0000 0.0000 0.0000
Tl1 Tl 0.3333 0.6667 0.5000
Tc1 Tc 0.6667 0.3333 0.0000
O1 O 0.3418 0.0731 0.1840
# final energy: -7.794 eV/atom
# raw formation energy: -1.757 eV/atom
# V: 16.6 Å³/atom